# K3ZrO3

Crystalline K3ZrO3 at its relaxed geometry (PBE, the Open Quantum Materials Database).

Computed properties:
electronic total energy	-5.722	eV per atom

Cell: 7.382 11.369 6.729 Å, 90.00 98.50 90.00°
Space group C2/m (No. 12)
Symmetry-distinct sites (fractional):
K: 0.000 0.193 0.000 (multiplicity 4)
K: 0.000 0.264 0.500 (multiplicity 4)
K: 0.148 0.500 0.859 (multiplicity 4)
Zr: 0.202 0.000 0.634 (multiplicity 4)
O: 0.075 0.000 0.326 (multiplicity 4)
O: 0.206 0.358 0.217 (multiplicity 8)